# TcRuAu2, optimized geometry, DFT PBE-GGA
# E_form	1.9	eV/f.u.
# VASP energy	-6.071	eV per atom
# size of the total moment	1.285	Bohr magnetons per cell
data_TcRuAu2
_cell_length_a 3.880
_cell_length_b 3.880
_cell_length_c 8.488
_cell_angle_alpha 90.00
_cell_angle_beta 90.00
_cell_angle_gamma 90.00
_space_group_name_H-M_alt 'I 4/m m m'
_space_group_IT_number 139
_space_group_name_Hall '-I 4 2'
loop_
_atom_site_label
_atom_site_type_symbol
_atom_site_fract_x
_atom_site_fract_y
_atom_site_fract_z
Tc1 Tc 0.000 0.000 0.000
Ru1 Ru 0.000 0.000 0.500
Au1 Au 0.000 0.500 0.250


# TcRu2Au, optimized geometry, DFT PBE-GGA
# E_form	1.0	eV/f.u.
# VASP energy	-7.796	eV per atom
# size of the total moment	0.000	Bohr magnetons per cell
data_TcRu2Au
_cell_length_a 2.757
_cell_length_b 3.943
_cell_length_c 5.541
_cell_angle_alpha 90.00
_cell_angle_beta 90.00
_cell_angle_gamma 90.00
_space_group_name_H-M_alt 'P m m 2'
_space_group_IT_number 25
_space_group_name_Hall 'P 2 -2'
loop_
_atom_site_label
_atom_site_type_symbol
_atom_site_fract_x
_atom_site_fract_y
_atom_site_fract_z
Tc1 Tc 0.000 0.000 0.000
Ru1 Ru 0.000 0.000 0.548
Ru2 Ru 0.500 0.500 0.780
Au1 Au 0.500 0.500 0.278


# Tc2RuAu, optimized geometry, DFT PBE-GGA
# E_form	3.0	eV/f.u.
# VASP energy	-7.581	eV per atom
# size of the total moment	0.000	Bohr magnetons per cell
data_Tc2RuAu
_cell_length_a 7.153
_cell_length_b 7.153
_cell_length_c 5.332
_cell_angle_alpha 90.00
_cell_angle_beta 90.00
_cell_angle_gamma 90.00
_space_group_name_H-M_alt 'I -4 2 d'
_space_group_IT_number 122
_space_group_name_Hall 'I -4 2bw'
loop_
_atom_site_label
_atom_site_type_symbol
_atom_site_fract_x
_atom_site_fract_y
_atom_site_fract_z
Tc1 Tc 0.203 0.250 0.125
Ru1 Ru 0.000 0.000 0.000
Au1 Au 0.000 0.000 0.500


# TcRuAu2, optimized geometry, DFT PBE-GGA
# E_form	0.6	eV/f.u.
# VASP energy	-6.390	eV per atom
# size of the total moment	1.426	Bohr magnetons per cell
data_TcRuAu2
_cell_length_a 2.8072
_cell_length_b 2.8072
_cell_length_c 28.5492
_cell_angle_alpha 90.00
_cell_angle_beta 90.00
_cell_angle_gamma 120.00
_space_group_name_H-M_alt 'R 3 m'
_space_group_IT_number 160
_space_group_name_Hall 'R 3 -2"'
loop_
_atom_site_label
_atom_site_type_symbol
_atom_site_fract_x
_atom_site_fract_y
_atom_site_fract_z
Tc1 Tc 0.0000 0.0000 0.0000
Ru1 Ru 0.0000 0.0000 0.7366
Au1 Au 0.0000 0.0000 0.2473
Au2 Au 0.0000 0.0000 0.4895


# Tc2RuAu, optimized geometry, DFT PBE-GGA
# E_form	0.9	eV/f.u.
# VASP energy	-8.107	eV per atom
# size of the total moment	0.000	Bohr magnetons per cell
data_Tc2RuAu
_cell_length_a 2.769
_cell_length_b 3.917
_cell_length_c 5.631
_cell_angle_alpha 90.00
_cell_angle_beta 90.04
_cell_angle_gamma 90.00
_space_group_name_H-M_alt 'P 1 m 1'
_space_group_IT_number 6
_space_group_name_Hall 'P -2y'
loop_
_atom_site_label
_atom_site_type_symbol
_atom_site_fract_x
_atom_site_fract_y
_atom_site_fract_z
Tc1 Tc 0.000 0.000 0.000
Tc2 Tc 0.496 0.500 0.224
Ru1 Ru 0.498 0.500 0.779
Au1 Au 0.998 0.000 0.502


# TcRu2Au, optimized geometry, DFT PBE-GGA
# E_form	1.1	eV/f.u.
# VASP energy	-7.762	eV per atom
# size of the total moment	0.000	Bohr magnetons per cell
data_TcRu2Au
_cell_length_a 9.197
_cell_length_b 2.773
_cell_length_c 4.783
_cell_angle_alpha 90.00
_cell_angle_beta 99.99
_cell_angle_gamma 90.00
_space_group_name_H-M_alt 'C 1 m 1'
_space_group_IT_number 8
_space_group_name_Hall 'C -2y'
loop_
_atom_site_label
_atom_site_type_symbol
_atom_site_fract_x
_atom_site_fract_y
_atom_site_fract_z
Tc1 Tc 0.000 0.000 0.000
Ru1 Ru 0.014 0.500 0.542
Ru2 Ru 0.254 0.000 0.774
Au1 Au 0.256 0.500 0.274


# TcRuAu, optimized geometry, DFT PBE-GGA
# E_form	2.3	eV/f.u.
# VASP energy	-6.862	eV per atom
# size of the total moment	0.004	Bohr magnetons per cell
data_TcRuAu
_cell_length_a 6.019
_cell_length_b 6.019
_cell_length_c 6.019
_cell_angle_alpha 90.00
_cell_angle_beta 90.00
_cell_angle_gamma 90.00
_space_group_name_H-M_alt 'F -4 3 m'
_space_group_IT_number 216
_space_group_name_Hall 'F -4 2 3'
loop_
_atom_site_label
_atom_site_type_symbol
_atom_site_fract_x
_atom_site_fract_y
_atom_site_fract_z
Tc1 Tc 0.000 0.000 0.000
Ru1 Ru 0.250 0.250 0.750
Au1 Au 0.000 0.000 0.500


# VTcRu2Au, optimized geometry, DFT PBE-GGA
# E_form	6.8	eV/f.u.
# VASP energy	-6.894	eV per atom
# size of the total moment	0.002	Bohr magnetons per cell
data_VTcRu2Au
_cell_length_a 4.633
_cell_length_b 4.633
_cell_length_c 4.447
_cell_angle_alpha 90.00
_cell_angle_beta 90.00
_cell_angle_gamma 90.00
_space_group_name_H-M_alt 'P 4/m m m'
_space_group_IT_number 123
_space_group_name_Hall '-P 4 2'
loop_
_atom_site_label
_atom_site_type_symbol
_atom_site_fract_x
_atom_site_fract_y
_atom_site_fract_z
V1 V 0.000 0.000 0.000
Tc1 Tc 0.000 0.000 0.500
Ru1 Ru 0.000 0.500 0.500
Au1 Au 0.500 0.500 0.000


# TeRuAu2, optimized geometry, DFT PBE-GGA
# VASP energy	-4.562	eV per atom
# size of the total moment	0.000	Bohr magnetons per cell
# formation energy from raw total energies	0.1811	eV per atom
data_TeRuAu2
_cell_length_a 3.203
_cell_length_b 3.203
_cell_length_c 7.530
_cell_angle_alpha 90.00
_cell_angle_beta 90.00
_cell_angle_gamma 90.00
_space_group_name_H-M_alt 'P 4 m m'
_space_group_IT_number 99
_space_group_name_Hall 'P 4 -2'
loop_
_atom_site_label
_atom_site_type_symbol
_atom_site_fract_x
_atom_site_fract_y
_atom_site_fract_z
Te1 Te 0.000 0.000 0.000
Ru1 Ru 0.500 0.500 0.810
Au1 Au 0.000 0.000 0.565
Au2 Au 0.500 0.500 0.334


# TeRu2Au, optimized geometry, DFT PBE-GGA
# VASP energy	-5.857	eV per atom
# size of the total moment	0.000	Bohr magnetons per cell
# formation energy from raw total energies	0.3856	eV per atom
data_TeRu2Au
_cell_length_a 2.924
_cell_length_b 3.707
_cell_length_c 6.855
_cell_angle_alpha 90.00
_cell_angle_beta 90.00
_cell_angle_gamma 90.00
_space_group_name_H-M_alt 'P m m 2'
_space_group_IT_number 25
_space_group_name_Hall 'P 2 -2'
loop_
_atom_site_label
_atom_site_type_symbol
_atom_site_fract_x
_atom_site_fract_y
_atom_site_fract_z
Te1 Te 0.000 0.000 0.000
Ru1 Ru 0.000 0.000 0.597
Ru2 Ru 0.500 0.500 0.772
Au1 Au 0.500 0.500 0.358


# Te2RuAu, optimized geometry, DFT PBE-GGA
# VASP energy	-4.574	eV per atom
# size of the total moment	0.000	Bohr magnetons per cell
# formation energy from raw total energies	0.1350	eV per atom
data_Te2RuAu
_cell_length_a 4.0551
_cell_length_b 4.0551
_cell_length_c 20.9812
_cell_angle_alpha 90.00
_cell_angle_beta 90.00
_cell_angle_gamma 120.00
_space_group_name_H-M_alt 'R 3 m'
_space_group_IT_number 160
_space_group_name_Hall 'R 3 -2"'
loop_
_atom_site_label
_atom_site_type_symbol
_atom_site_fract_x
_atom_site_fract_y
_atom_site_fract_z
Te1 Te 0.0000 0.0000 0.0000
Te2 Te 0.0000 0.0000 0.1890
Ru1 Ru 0.0000 0.0000 0.7158
Au1 Au 0.0000 0.0000 0.4571


# TeRuAu2, optimized geometry, DFT PBE-GGA
# VASP energy	-4.259	eV per atom
# size of the total moment	0.000	Bohr magnetons per cell
# formation energy from raw total energies	0.4845	eV per atom
data_TeRuAu2
_cell_length_a 5.389
_cell_length_b 7.725
_cell_length_c 3.700
_cell_angle_alpha 90.00
_cell_angle_beta 90.00
_cell_angle_gamma 90.00
_space_group_name_H-M_alt 'C m m m'
_space_group_IT_number 65
_space_group_name_Hall '-C 2 2'
loop_
_atom_site_label
_atom_site_type_symbol
_atom_site_fract_x
_atom_site_fract_y
_atom_site_fract_z
Te1 Te 0.000 0.000 0.000
Ru1 Ru 0.000 0.500 0.000
Au1 Au 0.250 0.250 0.500